[1]
Al2Si3Ni after structural relaxation, computed with PBE.

For the energy above the most stable polymorph in this dataset, the calculation gives 0.000 eV per atom.

It has space group Cmmm (No. 65), with a = 3.817 Å, b = 11.288 Å, c = 3.868 Å, α = 90.00°, β = 90.00° and γ = 90.00°. The distinct sites, in fractional coordinates, are Al at (0.000, 0.164, 0.000), Si at (0.000, 0.350, 0.500), Si at (0.000, 0.500, 0.000) and Ni at (0.000, 0.000, 0.500).

=====

[2]
AlSiNi after structural relaxation, computed with PBE.

The value obtained for the energy is -47.12 eV per cell.

It has space group Pm (No. 6), with a = 6.175 Å, b = 2.844 Å, c = 7.513 Å, α = 90.00°, β = 109.74° and γ = 90.00°. The distinct sites, in fractional coordinates, are Al at (0.000, 0.000, 0.000), Al at (0.276, 0.500, 0.799), Al at (0.622, 0.000, 0.144), Si at (0.316, 0.500, 0.245), Si at (0.607, 0.500, 0.586), Si at (0.934, 0.500, 0.402), Ni at (0.266, 0.000, 0.488), Ni at (0.601, 0.000, 0.823) and Ni at (0.931, 0.000, 0.653).

=====

[3]
Al4Si2Ni after structural relaxation, computed with PBE.

For the energy above the most stable polymorph in this dataset, the calculation gives 0.264 eV per atom.

It has space group P3m1 (No. 156), with a = 3.9311 Å, b = 3.9311 Å, c = 10.5830 Å, α = 90.00°, β = 90.00° and γ = 120.00°. The distinct sites, in fractional coordinates, are Al at (0.0000, 0.0000, 0.0000), Al at (0.0000, 0.0000, 0.4509), Al at (0.6667, 0.3333, 0.2881), Al at (0.6667, 0.3333, 0.7774), Si at (0.3333, 0.6667, 0.8812), Si at (0.6667, 0.3333, 0.5432) and Ni at (0.0000, 0.0000, 0.2227).

=====

[4]
AlSiNi after structural relaxation, computed with PBE.

The value obtained for the energy is -31.36 eV per cell.

It has space group P-6m2 (No. 187), with a = 3.8107 Å, b = 3.8107 Å, c = 6.6123 Å, α = 90.00°, β = 90.00° and γ = 120.00°. The distinct sites, in fractional coordinates, are Al at (0.0000, 0.0000, 0.0000), Al at (0.0000, 0.0000, 0.5000), Si at (0.6667, 0.3333, 0.2145) and Ni at (0.3333, 0.6667, 0.3072).